Density functional theory data (SCAN) for BeSbTe2 at its PBEsol-relaxed geometry.

The value obtained for the uncorrected formation energy is 2.422 eV per formula unit. Its energy is -28.42 eV/atom. The calculation puts the energy above the most stable polymorph in this dataset at 0.501 eV per atom.

Cell lengths 5.0942, 5.0942, 5.0942 Å; angles 60.00, 60.00, 60.00 degrees
Last column: nearest neighbours and their distance in Å.
Fractional positions:
Sb  0.5000  0.5000  0.5000  8 Te 3.12
Te  0.7500  0.7500  0.7500  4 Sb 3.12, 4 Be 3.12
Be  0.0000  0.0000  0.0000  8 Te 3.12
Te  0.2500  0.2500  0.2500  4 Sb 3.12, 4 Be 3.12

=====

Density functional theory data (SCAN) for AlTeRu2Au at its PBEsol-relaxed geometry.

The value obtained for the uncorrected formation energy is 5.895 eV per formula unit. Its energy is -35.58 eV/atom.

Cell lengths 4.5264, 4.9190, 4.9190 Å; angles 90.00, 90.00, 90.00 degrees
Last column: nearest neighbours and their distance in Å.
Fractional positions:
Te  0.5000  0.5000  0.5000  8 Ru 3.34, 4 Al 3.48
Au  0.0000  0.0000  0.0000  2 Al 2.26, 4 Ru 2.46
Ru  0.0000  0.0000  0.5000  2 Au 2.46
Al  0.5000  0.0000  0.0000  2 Au 2.26
Ru  0.0000  0.5000  0.0000  2 Au 2.46

=====

Density functional theory data (SCAN) for ZrSc2Co at its PBEsol-relaxed geometry.

Its energy is -18.99 eV/atom. The calculation puts the formation energy at 0.132 eV per atom. The calculation puts the energy above the most stable polymorph in this dataset at 0.295 eV per atom.

Cell lengths 4.6615, 4.6615, 4.6615 Å; angles 60.00, 60.00, 60.00 degrees
Last column: nearest neighbours and their distance in Å.
Fractional positions:
Zr  0.2500  0.2500  0.2500  4 Co 2.85, 4 Sc 2.85
Co  0.5000  0.5000  0.5000  4 Zr 2.85, 4 Sc 2.85
Sc  0.0000  0.0000  0.0000  4 Zr 2.85, 4 Sc 2.85
Sc  0.7500  0.7500  0.7500  4 Co 2.85, 4 Sc 2.85

=====

Density functional theory data (SCAN) for Tc2MoW at its PBEsol-relaxed geometry.

Its energy is -43.63 eV/atom. The calculation puts the formation energy at 0.045 eV per atom. The calculation puts the energy above the most stable polymorph in this dataset at 0.018 eV per atom.

Cell lengths 3.0913, 3.0913, 6.2301 Å; angles 90.00, 90.00, 90.00 degrees
Last column: nearest neighbours and their distance in Å.
Fractional positions:
Mo  0.5000  0.5000  0.7573  4 Tc 2.61, 4 W 2.73
Tc  0.0000  0.0000  0.9852  4 Mo 2.61, 4 Tc 2.79
Tc  0.5000  0.5000  0.2633  4 W 2.62, 4 Tc 2.79
W  0.0000  0.0000  0.4941  4 Tc 2.62, 4 Mo 2.73

=====

Density functional theory data (SCAN) for InOs2Au at its PBEsol-relaxed geometry.

Its energy is -60.89 eV/atom. The calculation puts the formation energy at 0.687 eV per atom.

Cell lengths 3.9635, 3.9635, 4.0408 Å; angles 90.00, 90.00, 90.00 degrees
Last column: nearest neighbours and their distance in Å.
Fractional positions:
In  0.0000  0.0000  0.5000  4 Au 2.80, 8 Os 2.83
Os  0.0000  0.5000  0.0000  4 Os 2.80, 4 Au 2.83, 4 In 2.83
Au  0.5000  0.5000  0.5000  4 In 2.80, 8 Os 2.83
Os  0.5000  0.0000  0.0000  4 Os 2.80, 4 Au 2.83, 4 In 2.83

=====

Density functional theory data (SCAN) for SrLi at its PBEsol-relaxed geometry.

Its energy is -12.12 eV/atom. The calculation puts the formation energy at 0.209 eV per atom. The calculation puts the energy above the most stable polymorph in this dataset at 0.191 eV per atom.

Cell lengths 4.8564, 4.8564, 4.8564 Å; angles 60.00, 60.00, 60.00 degrees
Last column: nearest neighbours and their distance in Å.
Fractional positions:
Sr  0.5000  0.5000  0.5000  6 Li 3.43
Li  0.0000  0.0000  0.0000  6 Sr 3.43

=====

Density functional theory data (SCAN) for Tl3BBr at its PBEsol-relaxed geometry.

The value obtained for the uncorrected formation energy is 5.638 eV per formula unit. Its energy is -47.67 eV/atom.

Cell lengths 5.9262, 5.9262, 5.9262 Å; angles 90.00, 90.00, 90.00 degrees
Last column: nearest neighbours and their distance in Å.
Fractional positions:
Tl  0.0000  0.0000  0.5000  2 Br 2.96
Br  0.0000  0.0000  0.0000  6 Tl 2.96
B  0.5000  0.5000  0.5000  12 Tl 4.19
Tl  0.0000  0.5000  0.0000  2 Br 2.96
Tl  0.5000  0.0000  0.0000  2 Br 2.96

=====

Density functional theory data (SCAN) for TiCoPO2 at its PBEsol-relaxed geometry.

The value obtained for the uncorrected formation energy is -3.461 eV per formula unit. Its energy is -11.93 eV/atom.

Cell lengths 3.5958, 3.5958, 4.4796 Å; angles 90.00, 90.00, 90.00 degrees
Last column: nearest neighbours and their distance in Å.
Fractional positions:
Ti  0.5000  0.5000  0.5000  4 P 2.54
O  0.0000  0.5000  0.0000  2 Co 1.80
P  0.0000  0.0000  0.5000  2 Co 2.24
Co  0.0000  0.0000  0.0000  4 O 1.80
O  0.5000  0.0000  0.0000  2 Co 1.80

=====

| no. | total moment (μB/cell) |
| --- | --- |
| 1 | 0.00 |
| 2 | 4.74 |
| 3 | 1.23 |
| 4 | 0.00 |
| 5 | 0.00 |
| 6 | 0.04 |
| 7 | 1.69 |
| 8 | 0.13 |